1.
# Mn2ReSi (GGA-PBE, relaxed)
# - E_form (uncorrected) (eV per atom) = -0.01
data_Mn2ReSi
_cell_length_a 2.6692
_cell_length_b 2.6692
_cell_length_c 24.2990
_cell_angle_alpha 90.00
_cell_angle_beta 90.00
_cell_angle_gamma 120.00
_space_group_name_H-M_alt 'R -3 m'
_space_group_IT_number 166
_space_group_name_Hall '-R 3 2"'
loop_
_atom_site_label
_atom_site_type_symbol
_atom_site_fract_x
_atom_site_fract_y
_atom_site_fract_z
Mn1 Mn 0.0000 0.0000 0.2462
Re1 Re 0.0000 0.0000 0.0000
Si1 Si 0.0000 0.0000 0.5000


2.
# PmEu2Ge (GGA-PBE, relaxed)
# - formation enthalpy at 0 K (meV per atom) = -240
# - energy above the lowest structure with this stoichiometry (meV/atom) = 47
data_PmEu2Ge
_cell_length_a 3.5981
_cell_length_b 3.5981
_cell_length_c 9.8219
_cell_angle_alpha 90.00
_cell_angle_beta 90.00
_cell_angle_gamma 90.00
_space_group_name_H-M_alt 'P 4/m m m'
_space_group_IT_number 123
_space_group_name_Hall '-P 4 2'
loop_
_atom_site_label
_atom_site_type_symbol
_atom_site_fract_x
_atom_site_fract_y
_atom_site_fract_z
Pm1 Pm 0.0000 0.0000 0.0000
Eu1 Eu 0.5000 0.5000 0.3047
Ge1 Ge 0.0000 0.0000 0.5000


3.
# UCrCo2 (GGA-PBE, relaxed)
# - formation enthalpy at 0 K (meV per atom) = 349
data_UCrCo2
_cell_length_a 2.6749
_cell_length_b 2.6749
_cell_length_c 26.3723
_cell_angle_alpha 90.00
_cell_angle_beta 90.00
_cell_angle_gamma 120.00
_space_group_name_H-M_alt 'R -3 m'
_space_group_IT_number 166
_space_group_name_Hall '-R 3 2"'
loop_
_atom_site_label
_atom_site_type_symbol
_atom_site_fract_x
_atom_site_fract_y
_atom_site_fract_z
U1 U 0.0000 0.0000 0.0000
Cr1 Cr 0.0000 0.0000 0.5000
Co1 Co 0.0000 0.0000 0.2388


4.
# Tl2InRu (GGA-PBE, relaxed)
# - formation enthalpy at 0 K (meV per atom) = 522
# - energy above the lowest structure with this stoichiometry (meV/atom) = 331
data_Tl2InRu
_cell_length_a 3.3797
_cell_length_b 5.2297
_cell_length_c 5.0923
_cell_angle_alpha 90.00
_cell_angle_beta 90.87
_cell_angle_gamma 90.00
_space_group_name_H-M_alt 'P 1 2/m 1'
_space_group_IT_number 10
loop_
_space_group_symop_operation_xyz
'x,y,z'
'-x,-y,-z'
'-x,y,-z'
'x,-y,z'
loop_
_atom_site_label
_atom_site_type_symbol
_atom_site_fract_x
_atom_site_fract_y
_atom_site_fract_z
Tl1 Tl 0.2275 0.0000 0.2591
In1 In 0.5000 0.5000 0.0000
Ru1 Ru 0.0000 0.5000 0.5000


5.
# La2Ni4As3Rh (GGA-PBE, relaxed)
# - formation enthalpy at 0 K (meV per atom) = -738
data_La2Ni4As3Rh
_cell_length_a 4.1361
_cell_length_b 4.1361
_cell_length_c 9.9998
_cell_angle_alpha 90.00
_cell_angle_beta 90.00
_cell_angle_gamma 90.00
_space_group_name_H-M_alt 'P -4 m 2'
_space_group_IT_number 115
loop_
_space_group_symop_operation_xyz
'x,y,z'
'y,-x,-z'
'-x,-y,z'
'-y,x,-z'
'-x,y,z'
'-y,-x,-z'
'x,-y,z'
'y,x,-z'
loop_
_atom_site_label
_atom_site_type_symbol
_atom_site_fract_x
_atom_site_fract_y
_atom_site_fract_z
La1 La 0.0000 0.5000 0.2486
Ni1 Ni 0.0000 0.0000 0.5000
Ni2 Ni 0.0000 0.5000 0.8616
Ni3 Ni 0.5000 0.5000 0.5000
As1 As 0.0000 0.0000 0.0000
As2 As 0.0000 0.5000 0.6248
Rh1 Rh 0.5000 0.5000 0.0000


6.
# Hf2SiF (GGA-PBE, relaxed)
# - E_form (uncorrected) (eV per atom) = -0.45
data_Hf2SiF
_cell_length_a 4.9275
_cell_length_b 4.9275
_cell_length_c 13.2513
_cell_angle_alpha 90.00
_cell_angle_beta 90.00
_cell_angle_gamma 90.00
_space_group_name_H-M_alt 'I -4 2 d'
_space_group_IT_number 122
_space_group_name_Hall 'I -4 2bw'
loop_
_atom_site_label
_atom_site_type_symbol
_atom_site_fract_x
_atom_site_fract_y
_atom_site_fract_z
Hf1 Hf 0.1879 0.2500 0.1250
Si1 Si 0.0000 0.0000 0.5000
F1 F 0.0000 0.0000 0.0000


7.
# TmUMn5 (GGA-PBE, relaxed)
# - formation enthalpy at 0 K (meV per atom) = 34
data_TmUMn5
_cell_length_a 8.0464
_cell_length_b 5.1783
_cell_length_c 10.2114
_cell_angle_alpha 90.00
_cell_angle_beta 90.00
_cell_angle_gamma 90.00
_space_group_name_H-M_alt 'P n m a'
_space_group_IT_number 62
loop_
_space_group_symop_operation_xyz
'x,y,z'
'-x,-y,-z'
'-x+1/2,-y,z+1/2'
'x+1/2,y,-z+1/2'
'x+1/2,-y+1/2,-z+1/2'
'-x+1/2,y+1/2,z+1/2'
'-x,y+1/2,-z'
'x,-y+1/2,z'
loop_
_atom_site_label
_atom_site_type_symbol
_atom_site_fract_x
_atom_site_fract_y
_atom_site_fract_z
Tm1 Tm 0.2360 0.2500 0.0688
U1 U 0.1271 0.2500 0.3906
Mn1 Mn 0.0827 0.2500 0.5946
Mn2 Mn 0.0833 0.5072 0.8085
Mn3 Mn 0.0855 0.7500 0.0257
Mn4 Mn 0.1686 0.7500 0.2492


8.
# AgRuAu2 (GGA-PBE, relaxed)
# - formation enthalpy at 0 K (meV per atom) = 416
# - energy above the lowest structure with this stoichiometry (meV/atom) = 167
data_AgRuAu2
_cell_length_a 2.7638
_cell_length_b 5.0173
_cell_length_c 9.9637
_cell_angle_alpha 90.00
_cell_angle_beta 90.00
_cell_angle_gamma 90.00
_space_group_name_H-M_alt 'I m m m'
_space_group_IT_number 71
_space_group_name_Hall '-I 2 2'
loop_
_atom_site_label
_atom_site_type_symbol
_atom_site_fract_x
_atom_site_fract_y
_atom_site_fract_z
Ag1 Ag 0.0000 0.0000 0.0000
Ru1 Ru 0.0000 0.0000 0.5000
Au1 Au 0.0000 0.5000 0.2415


| no. | DOS(E_F) (states/eV per cell) |
| --- | --- |
| 1 | 10.5 |
| 2 | 2.6 |
| 3 | 22.0 |
| 4 | 2.8 |
| 5 | 9.5 |
| 6 | 14.1 |
| 7 | 34.1 |
| 8 | 7.1 |